(1)
An optimized crystal structure of TaAlSi2. Source: Alexandria, functional PBE.

Geometry as extended XYZ:
```
4
Lattice="-1.080 3.020 1.098 -0.802 -1.377 2.998 4.123 -0.276 4.814" Properties=species:S:1:pos:R:3 pbc="T T T"
Si -0.792 -1.374 3.001
Si 1.650 -0.829 3.902
Al 1.951 0.270 6.407
Ta 0.290 1.097 2.502
```

Properties
As for the total energy: -27.1 eV per cell. The theoretical density comes out at 7.11 Mg/m³. As for the total magnetization: 0.000 μB/atom. The raw formation energy comes out at -0.17 eV/atom. As for the density of states at the Fermi level: 0.50 states/eV/atom.

---

(2)
An optimized crystal structure of TaAlSi. Source: Alexandria, functional PBE.

Geometry as extended XYZ:
```
12
Lattice="-2.743 -1.983 -4.661 2.889 -2.055 -0.825 -2.454 -6.128 6.672" Properties=species:S:1:pos:R:3 pbc="T T T"
Si -2.025 -4.064 3.033
Si 0.647 -2.027 -0.715
Si -4.397 -6.974 1.979
Si -1.725 -4.938 -1.770
Al -3.170 -4.672 0.540
Al -0.498 -2.636 -3.208
Al -3.267 -3.327 -3.151
Al -3.050 -7.419 -0.228
Ta -1.999 -2.486 -0.804
Ta -1.781 -6.578 2.119
Ta -3.036 -6.153 4.698
Ta -0.364 -4.117 0.949
```

Properties
As for the total energy: -86.7 eV per cell. The theoretical density comes out at 8.18 Mg/m³. As for the total magnetization: 0.000 μB/atom. The raw formation energy comes out at -0.22 eV/atom. As for the density of states at the Fermi level: 0.34 states/eV/atom.

---

(3)
An optimized crystal structure of TaAl2Si. Source: Alexandria, functional PBE.

Geometry as extended XYZ:
```
4
Lattice="4.929 0.024 0.000 -2.051 4.482 0.000 0.000 0.000 2.890" Properties=species:S:1:pos:R:3 pbc="T T T"
Si 2.465 0.012 1.445
Al 0.000 0.000 0.000
Al 1.439 2.253 0.000
Ta -1.025 2.241 1.445
```

Properties
As for the total energy: -25.0 eV per cell. The theoretical density comes out at 6.82 Mg/m³. As for the total magnetization: 0.000 μB/atom. The raw formation energy comes out at -0.06 eV/atom. As for the density of states at the Fermi level: 0.48 states/eV/atom.

---

(4)
An optimized crystal structure of TaAlSi2. Source: Alexandria, functional PBE.

Geometry as extended XYZ:
```
4
Lattice="5.058 0.000 0.000 2.305 4.502 0.000 -3.681 -2.251 2.638" Properties=species:S:1:pos:R:3 pbc="T T T"
Si 0.000 0.000 0.000
Si 1.152 2.251 1.319
Al 2.529 0.000 1.319
Ta 3.681 2.251 0.000
```

Properties
As for the total energy: -26.7 eV per cell. The theoretical density comes out at 7.30 Mg/m³. As for the total magnetization: 0.000 μB/atom. The raw formation energy comes out at -0.06 eV/atom. As for the density of states at the Fermi level: 0.47 states/eV/atom.

---

(5)
An optimized crystal structure of TaAlSi. Source: Alexandria, functional PBE.

Geometry as extended XYZ:
```
12
Lattice="6.301 0.000 -0.020 0.000 3.462 0.000 -2.041 0.000 8.939" Properties=species:S:1:pos:R:3 pbc="T T T"
Si 2.387 0.000 8.582
Si 1.873 0.000 0.337
Si 3.407 1.731 4.113
Si 0.853 1.731 4.807
Al 5.145 0.000 3.079
Al -0.884 0.000 5.840
Al 4.124 1.731 7.549
Al 0.136 1.731 1.371
Ta 1.691 0.000 2.993
Ta 2.569 0.000 5.927
Ta 0.671 1.731 7.462
Ta 3.589 1.731 1.457
```

Properties
As for the total energy: -87.3 eV per cell. The theoretical density comes out at 8.05 Mg/m³. As for the total magnetization: 0.000 μB/atom. The raw formation energy comes out at -0.27 eV/atom. As for the density of states at the Fermi level: 0.28 states/eV/atom.

---

(6)
An optimized crystal structure of TaAlSi. Source: Alexandria, functional PBE.

Geometry as extended XYZ:
```
3
Lattice="4.970 0.005 0.000 2.814 4.097 0.000 -3.892 -2.051 2.313" Properties=species:S:1:pos:R:3 pbc="T T T"
Si 2.593 1.366 0.000
Al 7.737 4.077 0.000
Ta 5.238 2.760 0.000
```

Properties
As for the total energy: -21.6 eV per cell. The theoretical density comes out at 8.33 Mg/m³. As for the total magnetization: 0.000 μB/atom. The raw formation energy comes out at -0.18 eV/atom. As for the density of states at the Fermi level: 0.93 states/eV/atom.

---

(7)
An optimized crystal structure of TaAlSi. Source: Alexandria, functional PBE.

Geometry as extended XYZ:
```
9
Lattice="-4.888 0.359 -0.032 2.368 -0.839 4.208 0.483 6.675 1.059" Properties=species:S:1:pos:R:3 pbc="T T T"
Ta 1.294 2.916 2.707
Ta -1.051 0.851 2.340
Ta 0.330 4.927 4.926
Al -1.052 3.316 1.253
Al -3.540 1.262 0.885
Al -2.090 5.313 3.594
Si -1.137 2.876 4.067
Si 1.331 0.458 3.731
Si 0.379 5.360 2.174
```

Properties
As for the total energy: -66.2 eV per cell. The theoretical density comes out at 8.34 Mg/m³. As for the total magnetization: 0.000 μB/atom. The raw formation energy comes out at -0.34 eV/atom. As for the density of states at the Fermi level: 0.50 states/eV/atom.

---

(8)
An optimized crystal structure of TaAlSi2. Source: Alexandria, functional PBE.

Geometry as extended XYZ:
```
4
Lattice="8.388 0.019 0.011 7.851 2.954 0.011 7.851 1.438 2.581" Properties=species:S:1:pos:R:3 pbc="T T T"
Si 23.988 4.392 2.593
Si 6.146 1.125 0.664
Al 17.967 3.290 1.942
Ta 12.122 2.220 1.310
```

Properties
As for the total energy: -26.1 eV per cell. The theoretical density comes out at 6.93 Mg/m³. As for the total magnetization: 0.000 μB/atom. The raw formation energy comes out at 0.08 eV/atom. As for the density of states at the Fermi level: 0.42 states/eV/atom.

---

(9)
An optimized crystal structure of TaAlSi2. Source: Alexandria, functional PBE.

Geometry as extended XYZ:
```
4
Lattice="-1.895 0.320 2.109 2.447 -0.382 1.417 1.251 7.789 -0.059" Properties=species:S:1:pos:R:3 pbc="T T T"
Si 0.003 0.019 0.000
Si 0.622 3.876 -0.029
Al 1.214 5.811 1.719
Ta 0.589 1.916 1.748
```

Properties
As for the total energy: -26.5 eV per cell. The theoretical density comes out at 7.00 Mg/m³. As for the total magnetization: 0.000 μB/atom. The raw formation energy comes out at -0.01 eV/atom. As for the density of states at the Fermi level: 0.27 states/eV/atom.

---

(10)
An optimized crystal structure of TaAlSi. Source: Alexandria, functional PBE.

Geometry as extended XYZ:
```
3
Lattice="-0.442 3.074 3.205 0.383 -4.313 1.082 2.682 0.267 0.114" Properties=species:S:1:pos:R:3 pbc="T T T"
Si 0.561 -1.805 1.809
Al 0.444 0.044 0.019
Ta 1.618 0.789 2.573
```

Properties
As for the total energy: -21.2 eV per cell. The theoretical density comes out at 8.42 Mg/m³. As for the total magnetization: 0.000 μB/atom. The raw formation energy comes out at -0.05 eV/atom. As for the density of states at the Fermi level: 0.58 states/eV/atom.

---

(11)
An optimized crystal structure of TaAl2Si. Source: Alexandria, functional PBE.

Geometry as extended XYZ:
```
4
Lattice="8.703 -0.017 -0.010 8.197 2.924 -0.010 8.197 1.410 2.562" Properties=species:S:1:pos:R:3 pbc="T T T"
Si 12.570 2.162 1.273
Al 25.082 4.314 2.540
Al 6.180 1.063 0.626
Ta 18.913 3.253 1.915
```

Properties
As for the total energy: -24.8 eV per cell. The theoretical density comes out at 6.64 Mg/m³. As for the total magnetization: 0.000 μB/atom. The raw formation energy comes out at -0.01 eV/atom. As for the density of states at the Fermi level: 0.86 states/eV/atom.

---

(12)
An optimized crystal structure of TaAl2Si. Source: Alexandria, functional PBE.

Geometry as extended XYZ:
```
4
Lattice="2.858 0.000 0.000 0.000 4.652 0.000 0.000 0.000 4.803" Properties=species:S:1:pos:R:3 pbc="T T T"
Si 1.429 0.000 2.402
Al 0.000 0.000 0.000
Al 1.429 2.326 0.000
Ta 0.000 2.326 2.402
```

Properties
As for the total energy: -24.8 eV per cell. The theoretical density comes out at 6.84 Mg/m³. As for the total magnetization: 0.000 μB/atom. The raw formation energy comes out at -0.02 eV/atom. As for the density of states at the Fermi level: 0.43 states/eV/atom.

---

(13)
An optimized crystal structure of TaAl3Si. Source: Alexandria, functional PBE.

Geometry as extended XYZ:
```
5
Lattice="5.010 0.000 0.000 0.000 5.010 0.000 0.000 0.000 5.010" Properties=species:S:1:pos:R:3 pbc="T T T"
Si 2.505 2.505 2.505
Al 0.000 2.505 0.000
Al 0.000 0.000 2.505
Al 2.505 0.000 0.000
Ta 0.000 0.000 0.000
```

Properties
As for the total energy: -22.7 eV per cell. The theoretical density comes out at 3.83 Mg/m³. As for the total magnetization: 0.000 μB/atom. The raw formation energy comes out at 1.15 eV/atom. As for the density of states at the Fermi level: 0.60 states/eV/atom.